1.
Crystalline ZnReRu at its relaxed geometry, computed with PBE.

Computed properties:
Energy above the lowest structure with this stoichiometry   0.000 eV/atom
DFT formation energy   -16.9 kJ/mol of formula units

Lattice parameters (Å, degrees): 2.797 2.797 11.032 90.00 90.00 90.00
Sites, in units of the cell vectors:
Ru 0.500 0.000 0.748
Ru 0.000 0.500 0.252
Re 0.000 0.500 0.906
Re 0.500 0.000 0.094
Zn 0.500 0.000 0.416
Zn 0.000 0.500 0.584

2.
Crystalline YCrNi2 at its relaxed geometry, computed with PBE.

Computed properties:
Energy above the lowest structure with this stoichiometry   0.340 eV/atom
DFT formation energy   84.8 kJ/mol of formula units

Lattice parameters (Å, degrees): 4.451 4.451 4.451 60.00 60.00 60.00
Sites, in units of the cell vectors:
Ni 0.750 0.750 0.750
Ni 0.000 0.000 0.000
Cr 0.500 0.500 0.500
Y 0.250 0.250 0.250

3.
Crystalline ErThHg6 at its relaxed geometry, computed with PBE.

Computed properties:
Energy above the lowest structure with this stoichiometry   0.036 eV/atom
DFT formation energy   -180.1 kJ/mol of formula units

Lattice parameters (Å, degrees): 4.810 4.810 8.678 90.00 90.00 90.00
Sites, in units of the cell vectors:
Hg 0.500 0.000 0.258
Hg 0.500 0.000 0.742
Hg 0.000 0.500 0.742
Hg 0.500 0.500 0.500
Hg 0.000 0.500 0.258
Hg 0.500 0.500 0.000
Th 0.000 0.000 0.000
Er 0.000 0.000 0.500

4.
Crystalline LaPbW at its relaxed geometry, computed with PBE.

Computed properties:
Energy above the lowest structure with this stoichiometry   0.000 eV/atom
DFT formation energy   165.0 kJ/mol of formula units

Lattice parameters (Å, degrees): 6.452 6.452 6.452 147.61 147.61 46.46
Sites, in units of the cell vectors:
W 0.686 0.686 0.000
La 0.013 0.013 0.000
Pb 0.301 0.301 0.000

5.
Crystalline Ga2Ag2Ge at its relaxed geometry, computed with PBE.

Computed properties:
Energy above the lowest structure with this stoichiometry   0.057 eV/atom
DFT formation energy   90.8 kJ/mol of formula units

Lattice parameters (Å, degrees): 3.774 3.774 7.316 75.05 75.05 90.00
Sites, in units of the cell vectors:
Ga 0.750 0.250 0.500
Ga 0.250 0.750 0.500
Ag 0.601 0.601 0.797
Ag 0.399 0.399 0.203
Ge 0.000 0.000 0.000

6.
Crystalline Ti2CrCd at its relaxed geometry, computed with PBE.

Computed properties:
DFT formation energy   283.5 kJ/mol of formula units

Lattice parameters (Å, degrees): 3.839 3.839 9.885 78.80 78.80 90.00
Sites, in units of the cell vectors:
Cr 0.500 0.500 0.000
Cr 0.250 0.750 0.500
Ti 0.607 0.125 0.250
Ti 0.143 0.625 0.250
Ti 0.375 0.393 0.750
Ti 0.875 0.857 0.750
Cd 0.000 0.000 0.000
Cd 0.750 0.250 0.500

7.
Crystalline YNi2Rh at its relaxed geometry, computed with PBE.

Computed properties:
DFT formation energy   -2.2 kJ/mol of formula units

Lattice parameters (Å, degrees): 4.398 5.128 4.004 129.81 90.01 90.00
Sites, in units of the cell vectors:
Rh 0.500 0.000 0.000
Ni 0.000 0.807 0.613
Ni 0.000 0.193 0.387
Y 0.500 0.500 0.000

8.
Crystalline Pm2Er2Te5 at its relaxed geometry, computed with PBE.

Computed properties:
Energy above the lowest structure with this stoichiometry   0.000 eV/atom
Raw formation energy   -1.29 eV/atom

Lattice parameters (Å, degrees): 8.200 8.961 8.961 125.45 90.00 90.00
Sites, in units of the cell vectors:
Pm 0.000 0.198 0.802
Pm 0.500 0.698 0.302
Pm 0.000 0.802 0.198
Pm 0.500 0.302 0.698
Te 0.156 0.477 0.203
Te 0.844 0.523 0.797
Te 0.000 0.000 0.000
Te 0.656 0.023 0.297
Te 0.656 0.297 0.023
Te 0.344 0.977 0.703
Te 0.344 0.703 0.977
Te 0.844 0.797 0.523
Te 0.500 0.500 0.500
Te 0.156 0.203 0.477
Er 0.649 0.855 0.855
Er 0.149 0.645 0.645
Er 0.851 0.355 0.355
Er 0.351 0.145 0.145

9.
Crystalline Cr3BH at its relaxed geometry, computed with PBE.

Computed properties:
Energy above the lowest structure with this stoichiometry   0.000 eV/atom

Lattice parameters (Å, degrees): 3.509 3.509 3.509 90.00 90.00 90.00
Sites, in units of the cell vectors:
Cr 0.500 0.000 0.000
Cr 0.000 0.500 0.000
Cr 0.000 0.000 0.500
H 0.000 0.000 0.000
B 0.500 0.500 0.500

10.
Crystalline PaTaTi2N6 at its relaxed geometry, computed with PBE.

Computed properties:
Raw formation energy   -1.28 eV/atom

Lattice parameters (Å, degrees): 5.383 5.384 5.643 61.53 61.52 59.98
Sites, in units of the cell vectors:
N 0.608 0.233 0.248
N 0.158 0.365 0.747
N 0.365 0.730 0.747
N 0.730 0.158 0.747
N 0.910 0.608 0.248
N 0.233 0.910 0.248
Ti 0.022 0.022 0.933
Ti 0.526 0.526 0.422
Ta 0.311 0.310 0.068
Pa 0.798 0.798 0.605

11.
Crystalline Ti2Pd3Rh3 at its relaxed geometry, computed with PBE.

Computed properties:
DFT formation energy   -459.0 kJ/mol of formula units

Lattice parameters (Å, degrees): 3.938 3.886 7.673 90.00 90.00 90.00
Sites, in units of the cell vectors:
Ti 0.000 0.000 0.255
Ti 0.000 0.000 0.745
Rh 0.000 0.500 0.000
Rh 0.000 0.500 0.500
Rh 0.500 0.000 0.500
Pd 0.500 0.000 0.000
Pd 0.500 0.500 0.749
Pd 0.500 0.500 0.251

12.
Crystalline Ac6GeRu2I3 at its relaxed geometry, computed with PBE.

Computed properties:
Raw formation energy   -0.81 eV/atom

Lattice parameters (Å, degrees): 7.741 7.741 8.917 98.36 98.36 119.95
Sites, in units of the cell vectors:
I 0.837 0.163 0.500
I 0.500 0.500 0.500
I 0.163 0.837 0.500
Ac 0.416 0.062 0.187
Ac 0.291 0.291 0.814
Ac 0.938 0.584 0.813
Ac 0.584 0.938 0.813
Ac 0.062 0.416 0.187
Ac 0.709 0.709 0.186
Ru 0.333 0.667 0.000
Ru 0.667 0.333 0.000
Ge 0.000 0.000 0.000

13.
Crystalline PrNiHg at its relaxed geometry, computed with PBE.

Computed properties:
DFT formation energy   -116.7 kJ/mol of formula units

Lattice parameters (Å, degrees): 4.045 3.957 8.718 103.12 90.00 90.00
Sites, in units of the cell vectors:
Ni 0.750 0.460 0.921
Ni 0.250 0.540 0.079
Pr 0.750 0.098 0.195
Pr 0.250 0.902 0.805
Hg 0.250 0.703 0.406
Hg 0.750 0.297 0.594

14.
Crystalline VSi2HgC at its relaxed geometry, computed with PBE.

Computed properties:
Energy above the lowest structure with this stoichiometry   1.076 eV/atom
Raw formation energy   2.30 eV/atom

Lattice parameters (Å, degrees): 5.168 3.843 5.168 90.00 90.00 90.00
Sites, in units of the cell vectors:
Hg 0.000 0.000 0.000
C 0.000 0.500 0.000
Si 0.500 0.000 0.000
Si 0.000 0.000 0.500
V 0.500 0.500 0.500

15.
Crystalline CrMoOs3 at its relaxed geometry, computed with PBE.

Computed properties:
Energy above the lowest structure with this stoichiometry   0.000 eV/atom
DFT formation energy   830.1 kJ/mol of formula units

Lattice parameters (Å, degrees): 4.404 4.404 4.404 90.00 90.00 90.00
Sites, in units of the cell vectors:
Os 0.000 0.000 0.500
Os 0.000 0.500 0.000
Os 0.500 0.000 0.000
Cr 0.000 0.000 0.000
Mo 0.500 0.500 0.500

16.
Crystalline Nd2TlH2 at its relaxed geometry, computed with PBE.

Computed properties:
Energy above the lowest structure with this stoichiometry   0.069 eV/atom

Lattice parameters (Å, degrees): 6.089 6.089 6.726 104.65 104.65 116.32
Sites, in units of the cell vectors:
Nd 0.195 0.805 0.750
Nd 0.557 0.443 0.750
Nd 0.443 0.557 0.250
Nd 0.805 0.195 0.250
H 0.255 0.504 0.511
H 0.496 0.745 0.989
H 0.745 0.496 0.489
H 0.504 0.255 0.011
Tl 0.876 0.124 0.750
Tl 0.124 0.876 0.250

17.
Crystalline ScIr2Pb at its relaxed geometry, computed with PBE.

Computed properties:
DFT formation energy   -33.0 kJ/mol of formula units

Lattice parameters (Å, degrees): 3.646 3.646 5.621 90.00 90.00 90.00
Sites, in units of the cell vectors:
Sc 0.500 0.500 0.795
Pb 0.000 0.000 0.467
Ir 0.500 0.500 0.274
Ir 0.000 0.000 0.965

18.
Crystalline PaSe2Br5 at its relaxed geometry, computed with PBE.

Computed properties:
Raw formation energy   -0.90 eV/atom

Lattice parameters (Å, degrees): 5.729 8.773 8.815 92.92 71.48 72.02
Sites, in units of the cell vectors:
Br 0.132 0.980 0.678
Br 0.798 0.020 0.322
Br 0.135 0.677 0.966
Br 0.795 0.323 0.033
Br 0.465 0.000 0.000
Pa 0.965 0.000 0.000
Se 0.163 0.433 0.499
Se 0.769 0.568 0.501

19.
Crystalline RhAu at its relaxed geometry, computed with PBE.

Computed properties:
DFT formation energy   63.4 kJ/mol of formula units

Lattice parameters (Å, degrees): 2.768 11.732 6.686 90.00 90.00 90.00
Sites, in units of the cell vectors:
Au 0.000 0.243 0.316
Au 0.000 0.000 0.908
Au 0.000 0.743 0.816
Au 0.000 0.500 0.408
Au 0.000 0.257 0.816
Au 0.000 0.757 0.316
Rh 0.000 0.000 0.303
Rh 0.500 0.609 0.080
Rh 0.500 0.891 0.580
Rh 0.500 0.391 0.080
Rh 0.500 0.109 0.580
Rh 0.000 0.500 0.803

20.
Crystalline V12CrGa6 at its relaxed geometry, computed with PBE.

Computed properties:
DFT formation energy   -73.4 kJ/mol of formula units

Lattice parameters (Å, degrees): 6.432 6.432 6.432 90.07 90.07 90.07
Sites, in units of the cell vectors:
V 0.568 0.195 0.486
V 0.371 0.059 0.143
V 0.514 0.432 0.805
V 0.195 0.486 0.568
V 0.432 0.805 0.514
V 0.486 0.568 0.195
V 0.143 0.371 0.059
V 0.059 0.143 0.371
V 0.941 0.857 0.629
V 0.857 0.629 0.941
V 0.629 0.941 0.857
V 0.805 0.514 0.432
Ga 0.270 0.119 0.739
Ga 0.739 0.270 0.119
Ga 0.261 0.730 0.881
Ga 0.881 0.261 0.730
Ga 0.730 0.881 0.261
Ga 0.119 0.739 0.270
Cr 0.000 0.000 0.000

21.
Crystalline AlVNi3 at its relaxed geometry, computed with PBE.

Computed properties:
Energy above the lowest structure with this stoichiometry   0.292 eV/atom
DFT formation energy   72.7 kJ/mol of formula units

Lattice parameters (Å, degrees): 7.156 4.907 4.907 120.00 90.00 90.00
Sites, in units of the cell vectors:
Ni 0.250 0.825 0.649
Ni 0.250 0.351 0.175
Ni 0.750 0.175 0.351
Ni 0.250 0.825 0.175
Ni 0.750 0.175 0.825
Ni 0.750 0.649 0.825
V 0.000 0.000 0.000
V 0.500 0.000 0.000
Al 0.750 0.667 0.333
Al 0.250 0.333 0.667

22.
Crystalline DyPaAu4 at its relaxed geometry, computed with PBE.

Computed properties:
DFT formation energy   -350.6 kJ/mol of formula units

Lattice parameters (Å, degrees): 3.647 5.302 7.655 99.42 76.22 69.88
Sites, in units of the cell vectors:
Dy 0.500 0.500 0.500
Au 0.667 0.000 0.666
Au 0.333 0.000 0.334
Au 0.165 0.500 0.170
Au 0.835 0.500 0.830
Pa 0.000 0.000 0.000

23.
Crystalline YAs2Ir at its relaxed geometry, computed with PBE.

Computed properties:
Energy above the lowest structure with this stoichiometry   0.044 eV/atom
DFT formation energy   -289.3 kJ/mol of formula units

Lattice parameters (Å, degrees): 4.073 4.406 4.660 79.37 90.00 90.00
Sites, in units of the cell vectors:
As 0.000 0.083 0.012
As 0.000 0.417 0.488
Ir 0.500 0.250 0.250
Y 0.500 0.750 0.750

24.
Crystalline CePr2Y3S6 at its relaxed geometry, computed with PBE.

Computed properties:
Raw formation energy   -2.02 eV/atom

Lattice parameters (Å, degrees): 3.965 8.081 8.973 103.94 102.76 90.00
Sites, in units of the cell vectors:
S 0.663 0.594 0.326
S 0.004 0.744 0.008
S 0.669 0.073 0.338
S 0.337 0.406 0.674
S 0.996 0.256 0.992
S 0.331 0.927 0.662
Pr 0.166 0.332 0.332
Pr 0.834 0.668 0.668
Y 0.832 0.165 0.665
Y 0.168 0.835 0.335
Y 0.500 0.500 0.000
Ce 0.500 0.000 0.000

25.
Crystalline V6IrOs at its relaxed geometry, computed with PBE.

Computed properties:
Energy above the lowest structure with this stoichiometry   0.000 eV/atom
DFT formation energy   -325.9 kJ/mol of formula units

Lattice parameters (Å, degrees): 6.766 6.765 4.785 45.01 45.02 60.01
Sites, in units of the cell vectors:
V 0.251 0.000 0.249
V 0.749 0.000 0.751
V 0.000 0.500 0.751
V 0.000 0.500 0.249
V 0.500 0.749 0.751
V 0.500 0.251 0.249
Os 0.500 0.500 0.500
Ir 0.000 0.000 0.000